Crystalline La2AgPd4 at its relaxed geometry. Source: Alexandria, functional PBE-GGA.

abc: 5.0071 5.0071 7.9379
angles: 71.62 71.62 90.00
Closest atoms and distances in Å follow each position.
Fractional positions:
Pd 0.5000 0.0000 0.0000  2 Ag 2.50
La 0.3666 0.3666 0.2668  1 Pd 2.57
Pd 0.0000 0.5000 0.0000  2 Ag 2.50
Pd 0.8145 0.8145 0.3710  1 La 2.57, 1 Ag 2.64
Pd 0.1855 0.1855 0.6290  1 La 2.57, 1 Ag 2.64
La 0.6334 0.6334 0.7332  1 Pd 2.57
Ag 0.0000 0.0000 0.0000  6 Pd 2.50-2.64

Properties
spin magnetization: 0.0 μB per cell
total DFT energy (no corrections): -34.786 eV/cell
DFT formation energy: -0.19 eV per atom

***

Crystalline CdAs3I at its relaxed geometry. Source: Alexandria, functional PBE-GGA.

abc: 5.2262 5.2262 5.2262
angles: 90.00 90.00 90.00
Closest atoms and distances in Å follow each position.
Fractional positions:
I 0.5000 0.5000 0.5000  12 As 3.70
As 0.0000 0.0000 0.5000  2 Cd 2.61
As 0.5000 0.0000 0.0000  2 Cd 2.61
Cd 0.0000 0.0000 0.0000  6 As 2.61
As 0.0000 0.5000 0.0000  2 Cd 2.61

Properties
E above lowest polymorph: 0.0 meV/atom
spin magnetization: 0.0 μB per cell
total DFT energy (no corrections): -11.644 eV/cell
uncorrected formation energy: 0.954 eV/atom

***

Crystalline SrCaMg3 at its relaxed geometry. Source: Alexandria, functional PBE-GGA.

abc: 6.0448 6.0448 6.0448
angles: 90.00 90.00 90.00
Closest atoms and distances in Å follow each position.
Fractional positions:
Sr 0.0000 0.0000 0.0000  6 Mg 3.02
Mg 0.0000 0.0000 0.5000  2 Sr 3.02
Ca 0.5000 0.5000 0.5000  12 Mg 4.27
Mg 0.5000 0.0000 0.0000  2 Sr 3.02
Mg 0.0000 0.5000 0.0000  2 Sr 3.02

Properties
E above lowest polymorph: 236.9 meV/atom
spin magnetization: 0.0 μB per cell
total DFT energy (no corrections): -4.734 eV/cell
DFT formation energy: 0.75 eV per atom

***

Crystalline CdP3 at its relaxed geometry. Source: Alexandria, functional PBE-GGA.

abc: 7.0008 7.0008 3.4493
angles: 90.00 90.00 109.30
Closest atoms and distances in Å follow each position.
Fractional positions:
P 0.1984 0.8016 0.7500  4 P 2.47
P 0.9404 0.7847 0.2500  5 P 2.23-2.48
P 0.7847 0.9404 0.7500  5 P 2.23-2.48
P 0.0596 0.2153 0.7500  5 P 2.23-2.48
P 0.2153 0.0596 0.2500  5 P 2.23-2.48
P 0.8016 0.1984 0.2500  4 P 2.47
Cd 0.3936 0.6064 0.2500  2 P 2.82, 2 Cd 2.98
Cd 0.6064 0.3936 0.7500  2 P 2.82, 2 Cd 2.98

Properties
E above lowest polymorph: 354.5 meV/atom
spin magnetization: 0.0 μB per cell
total DFT energy (no corrections): -31.712 eV/cell
DFT formation energy: 0.32 eV per atom

***

Crystalline KLi2SiIr at its relaxed geometry. Source: Alexandria, functional PBE-GGA.

abc: 5.0064 5.0064 4.5507
angles: 90.00 90.00 90.00
Closest atoms and distances in Å follow each position.
Fractional positions:
Ir 0.0000 0.0000 0.0000  2 Si 2.28, 4 Li 2.50
Li 0.0000 0.5000 0.0000  2 Ir 2.50
Li 0.5000 0.0000 0.0000  2 Ir 2.50
K 0.5000 0.5000 0.5000  8 Li 3.38, 4 Si 3.54
Si 0.0000 0.0000 0.5000  2 Ir 2.28

Properties
spin magnetization: 0.0 μB per cell
total DFT energy (no corrections): -19.959 eV/cell
uncorrected formation energy: -0.150 eV/atom

***

Crystalline La5Ga2Rh at its relaxed geometry. Source: Alexandria, functional PBE-GGA.

abc: 4.8136 8.0380 12.2469
angles: 90.00 90.00 90.00
Closest atoms and distances in Å follow each position.
Fractional positions:
La 0.0000 0.1409 0.7940  1 Rh 2.77
Ga 0.5000 0.0759 0.3340  9 La 3.21-3.53
Rh 0.0000 0.5000 0.5000  6 La 2.77-3.00
Ga 0.5000 0.4241 0.8340  9 La 3.21-3.53
La 0.5000 0.3116 0.5768  2 Rh 3.00, 2 Ga 3.28-3.30
La 0.5000 0.1884 0.0768  2 Rh 3.00, 2 Ga 3.28-3.30
La 0.5000 0.8116 0.9232  2 Rh 3.00, 2 Ga 3.28-3.30
La 0.0000 0.6409 0.7060  1 Rh 2.77
La 0.0000 0.8591 0.2060  1 Rh 2.77
Ga 0.5000 0.9241 0.6660  9 La 3.21-3.53
La 0.0000 0.5000 0.0000  4 Ga 3.21
La 0.0000 0.3591 0.2940  1 Rh 2.77
Ga 0.5000 0.5759 0.1660  9 La 3.21-3.53
Rh 0.0000 0.0000 0.0000  6 La 2.77-3.00
La 0.0000 0.0000 0.5000  4 Ga 3.21
La 0.5000 0.6884 0.4232  2 Rh 3.00, 2 Ga 3.28-3.30

Properties
spin magnetization: 0.0 μB per cell
total DFT energy (no corrections): -84.490 eV/cell
DFT formation energy: -0.53 eV per atom

***

Crystalline CsInAs2Pb at its relaxed geometry. Source: Alexandria, functional PBE-GGA.

abc: 4.4043 9.2896 9.8545
angles: 74.78 77.09 76.29
Closest atoms and distances in Å follow each position.
Fractional positions:
As 0.4149 0.8417 0.3286  2 In 2.69, 1 Pb 2.98
Cs 0.8029 0.7514 0.6429  5 As 3.68-3.74
In 0.9463 0.9346 0.1729  4 As 2.69-2.89
As 0.1428 0.7606 0.9538  2 In 2.75-2.89, 2 Pb 2.87
As 0.8572 0.2394 0.0462  2 In 2.75-2.89, 2 Pb 2.87
As 0.5851 0.1583 0.6714  2 In 2.69, 1 Pb 2.98
In 0.0537 0.0654 0.8271  4 As 2.69-2.89
Cs 0.1971 0.2486 0.3571  5 As 3.68-3.74
Pb 0.3805 0.3699 0.8690  3 As 2.87-2.98
Pb 0.6195 0.6301 0.1310  3 As 2.87-2.98

Properties
spin magnetization: 0.0 μB per cell
total DFT energy (no corrections): -35.955 eV/cell
DFT formation energy: -0.28 eV per atom

***

Crystalline Li3Cu5Pd3 at its relaxed geometry. Source: Alexandria, functional PBE-GGA.

abc: 2.6302 8.2823 8.2823
angles: 120.00 90.00 90.00
Closest atoms and distances in Å follow each position.
Fractional positions:
Pd 0.0000 0.0000 0.5893  2 Li 2.38, 2 Cu 2.52, 2 Pd 2.63
Cu 0.5000 0.3333 0.6667  5 Cu 2.63-2.78, 6 Pd 2.83
Li 0.5000 0.8294 0.0000  2 Cu 2.36, 2 Pd 2.38, 4 Li 2.45-2.63
Pd 0.0000 0.5893 0.0000  2 Li 2.38, 2 Cu 2.52, 2 Pd 2.63
Cu 0.5000 0.6667 0.3333  5 Cu 2.63-2.78, 6 Pd 2.83
Pd 0.0000 0.4107 0.4107  2 Li 2.38, 2 Cu 2.52, 2 Pd 2.63
Cu 0.5000 0.3293 0.0000  2 Li 2.36, 2 Pd 2.52, 2 Cu 2.63
Li 0.5000 0.1706 0.1706  2 Cu 2.36, 2 Pd 2.38, 4 Li 2.45-2.63
Li 0.5000 0.0000 0.8294  2 Cu 2.36, 2 Pd 2.38, 4 Li 2.45-2.63
Cu 0.5000 0.6707 0.6707  2 Li 2.36, 2 Pd 2.52, 2 Cu 2.63
Cu 0.5000 0.0000 0.3293  2 Li 2.36, 2 Pd 2.52, 2 Cu 2.63

Properties
spin magnetization: 0.0 μB per cell
total DFT energy (no corrections): -40.004 eV/cell
DFT formation energy: 0.16 eV per atom

***

Crystalline LaNiSe2 at its relaxed geometry. Source: Alexandria, functional PBE-GGA.

abc: 4.3071 4.1260 5.9366
angles: 69.60 90.00 90.00
Closest atoms and distances in Å follow each position.
Fractional positions:
Se 0.0000 0.8598 0.9079  2 Ni 2.29
Se 0.5000 0.1423 0.3423  1 Ni 2.35
Ni 0.5000 0.9266 0.7654  3 Se 2.29-2.35
La 0.0000 0.5713 0.4844  7 Se 3.08-3.21, 4 Ni 3.36-3.38

Properties
spin magnetization: 0.9 μB per cell
total DFT energy (no corrections): -22.345 eV/cell
uncorrected formation energy: -1.167 eV/atom

***

Crystalline LaTcTe2 at its relaxed geometry. Source: Alexandria, functional PBE-GGA.

abc: 7.3878 7.3878 7.3878
angles: 149.70 149.00 43.90
Closest atoms and distances in Å follow each position.
Fractional positions:
Tc 0.2064 0.7064 0.5000  6 Te 2.73-2.91
La 0.4551 0.4551 0.0000  6 Te 3.15-3.18
Te 0.0655 0.0655 0.0000  2 Tc 2.73
Te 0.7730 0.2730 0.5000  4 Tc 2.91, 2 La 3.18

Properties
E above lowest polymorph: 399.7 meV/atom
spin magnetization: 0.7 μB per cell
total DFT energy (no corrections): -23.154 eV/cell
uncorrected formation energy: -0.394 eV/atom

***

Crystalline Rb2NpS2Cl4 at its relaxed geometry. Source: Alexandria, functional PBE-GGA.

abc: 6.1723 7.2933 7.2933
angles: 60.69 91.03 91.03
Closest atoms and distances in Å follow each position.
Fractional positions:
Np 0.5000 0.0000 0.0000  2 S 2.35, 4 Cl 2.60
Cl 0.7381 0.3389 0.8338  1 Np 2.60
Cl 0.7381 0.8338 0.3389  1 Np 2.60
S 0.2830 0.1516 0.1516  1 Np 2.35
Cl 0.2619 0.6611 0.1662  1 Np 2.60
Cl 0.2619 0.1662 0.6611  1 Np 2.60
Rb 0.7504 0.3353 0.3353  8 Cl 3.64-3.76, 4 S 3.66-4.06
Rb 0.2496 0.6647 0.6647  8 Cl 3.64-3.76, 4 S 3.66-4.06
S 0.7170 0.8484 0.8484  1 Np 2.35

Properties
spin magnetization: 1.0 μB per cell
total DFT energy (no corrections): -43.528 eV/cell
uncorrected formation energy: -1.446 eV/atom